The following is a DFT calculation (PBE-GGA) of an optimized crystal structure of MoPSeN2.

Output
The value obtained for the polymorph energy (0 for the lowest one) is 0 meV/atom. The calculation puts the raw formation energy at 0.759 eV per atom. For the volume, the calculation gives 81.6 Å³ per cell. Its total moment is 0.90 μB per formula unit. The calculation puts the total energy at -6.516 eV per atom.

Geometry as CIF:
```
data_MoPSeN2
_symmetry_space_group_name_H-M 'P 4/m m m'
_symmetry_Int_Tables_number 123
_symmetry_space_group_name_Hall '-P 4 2'
_cell_length_a 3.870
_cell_length_b 3.870
_cell_length_c 5.450
_cell_angle_alpha 90.00
_cell_angle_beta 90.00
_cell_angle_gamma 90.00
loop_
_atom_site_label
_atom_site_fract_x
_atom_site_fract_y
_atom_site_fract_z
_atom_site_occupancy
Mo1 0.000 0.000 0.000 1
P1 0.500 0.500 0.500 1
Se1 0.000 0.000 0.500 1
N1 0.000 0.500 0.000 1
```